A plane-wave DFT calculation with GGA-PBE was carried out for crystalline PrTlInAu at its relaxed geometry.

Cell lengths 7.4105, 7.4105, 7.4105 Å; angles 90.00, 90.00, 90.00 degrees
Closest atoms and distances in Å follow each position.
Space group F-43m (No. 216)
Inequivalent atoms, fractional coordinates:
Pr: 0.0000 0.0000 0.0000  4 Tl 3.21, 4 Au 3.21
Tl: 0.2500 0.2500 0.7500  4 In 3.21, 4 Pr 3.21
In: 0.0000 0.0000 0.5000  4 Tl 3.21, 4 Au 3.21
Au: 0.2500 0.2500 0.2500  4 In 3.21, 4 Pr 3.21

Calculated values
DFT formation energy: -1.7 eV per formula unit
E_tot: -59.548 eV per cell
DOS(E_F): 8.686 states/eV per cell

A plane-wave DFT calculation with GGA-PBE was carried out for crystalline ZrCd2O at its relaxed geometry.

Cell lengths 9.4229, 9.4229, 4.0773 Å; angles 90.00, 90.00, 90.00 degrees
Closest atoms and distances in Å follow each position.
Space group I-42d (No. 122)
Inequivalent atoms, fractional coordinates:
Zr: 0.0000 0.0000 0.0000  2 O 2.04
Cd: 0.1459 0.2500 0.6250  2 O 2.77, 2 Cd 2.83
O: 0.0000 0.0000 0.5000  2 Zr 2.04

Calculated values
formation energy without anion corrections: -0.58 eV/atom
E_tot: -70.672 eV per cell
DOS(E_F): 4.061 states/eV per cell

A plane-wave DFT calculation with GGA-PBE was carried out for crystalline PrSmErMg at its relaxed geometry.

Cell lengths 3.7129, 3.7129, 8.9811 Å; angles 90.00, 90.00, 90.00 degrees
Closest atoms and distances in Å follow each position.
Space group P4mm (No. 99)
Inequivalent atoms, fractional coordinates:
Pr: 0.0000 0.0000 0.0000  4 Er 3.60, 4 Sm 3.66, 4 Pr 3.71
Sm: 0.5000 0.5000 0.7158  4 Mg 3.33, 4 Pr 3.66, 4 Sm 3.71
Er: 0.5000 0.5000 0.2735  4 Mg 3.25, 4 Pr 3.60
Mg: 0.0000 0.0000 0.4875  4 Er 3.25, 4 Sm 3.33

Calculated values
DFT formation energy: -0.1 eV per formula unit
E_tot: -15.760 eV per cell
DOS(E_F): 5.027 states/eV per cell
distance to the lowest polymorph of the same formula: 0 meV/atom